P.
Entry from the Alexandria database: an optimized crystal structure of Er2NiH (GGA-PBE).

The value obtained for the volume is 18.59 A^3/atom.

It has space group R-3m (No. 166, hexagonal axes), with a = 3.3115 Å, b = 3.3115 Å, c = 23.4869 Å, α = 90.00°, β = 90.00° and γ = 120.00°. The asymmetric unit holds Er at (0.0000, 0.0000, 0.1071), Ni at (0.0000, 0.0000, 0.0000) and H at (0.0000, 0.0000, 0.5000).



Q.
Entry from the Alexandria database: an optimized crystal structure of Er2NiH (GGA-PBE).

The value obtained for the volume is 17.48 A^3/atom.

It has space group P4/mmm (No. 123), with a = 3.205 Å, b = 3.205 Å, c = 6.806 Å, α = 90.00°, β = 90.00° and γ = 90.00°. The asymmetric unit holds Er at (0.000, 0.000, 0.250), Ni at (0.500, 0.500, 0.000) and H at (0.500, 0.500, 0.500).



Most stable structure - Q; separation to the second - 334 meV/atom.



P.
Entry from the Alexandria database: an optimized crystal structure of ErHO (GGA-PBE).

The value obtained for the volume is 18.15 A^3/atom.

It has space group P3m1 (No. 156), with a = 3.5233 Å, b = 3.5233 Å, c = 5.0659 Å, α = 90.00°, β = 90.00° and γ = 120.00°. The asymmetric unit holds Er at (0.0000, 0.0000, 0.0000), H at (0.6667, 0.3333, 0.2295) and O at (0.3333, 0.6667, 0.8623).



Q.
Entry from the Alexandria database: an optimized crystal structure of ErHO (GGA-PBE).

The value obtained for the volume is 11.98 A^3/atom.

It has space group F-43m (No. 216), with a = 5.238 Å, b = 5.238 Å, c = 5.238 Å, α = 90.00°, β = 90.00° and γ = 90.00°. The asymmetric unit holds Er at (0.000, 0.000, 0.000), H at (0.250, 0.250, 0.250) and O at (0.250, 0.250, 0.750).



R.
Entry from the Alexandria database: an optimized crystal structure of ErHO (GGA-PBE).

The value obtained for the volume is 10.50 A^3/atom.

It has space group P4/nmm (No. 129, origin choice 2), with a = 3.265 Å, b = 3.265 Å, c = 5.909 Å, α = 90.00°, β = 90.00° and γ = 90.00°. The asymmetric unit holds Er at (0.250, 0.250, 0.241), H at (0.250, 0.750, 0.500) and O at (0.250, 0.250, 0.852).



Most stable structure - Q; separation to the second - 21 meV/atom.



P.
Entry from the Alexandria database: an optimized crystal structure of Er2HOs (GGA-PBE).

The value obtained for the volume is 18.21 A^3/atom.

It has space group R-3m (No. 166, hexagonal axes), with a = 3.4927 Å, b = 3.4927 Å, c = 20.6810 Å, α = 90.00°, β = 90.00° and γ = 120.00°. The asymmetric unit holds Er at (0.0000, 0.0000, 0.2395), H at (0.0000, 0.0000, 0.5000) and Os at (0.0000, 0.0000, 0.0000).



Q.
Entry from the Alexandria database: an optimized crystal structure of Er2HOs (GGA-PBE).

The value obtained for the volume is 18.64 A^3/atom.

It has space group P4/mmm (No. 123), with a = 3.252 Å, b = 3.252 Å, c = 7.051 Å, α = 90.00°, β = 90.00° and γ = 90.00°. The asymmetric unit holds Er at (0.000, 0.000, 0.241), H at (0.500, 0.500, 0.500) and Os at (0.500, 0.500, 0.000).



Most stable structure - Q; separation to the second - 46 meV/atom.



P.
Entry from the Alexandria database: an optimized crystal structure of Er3HPb (GGA-PBE).

The value obtained for the volume is 23.65 A^3/atom.

It has space group Cc (No. 9), with a = 6.514 Å, b = 11.149 Å, c = 6.625 Å, α = 90.00°, β = 100.57° and γ = 90.00°. The asymmetric unit holds Er at (0.000, 0.030, 0.000), Er at (0.029, 0.464, 0.163), Er at (0.244, 0.265, 0.811), H at (0.201, 0.441, 0.921) and Pb at (0.252, 0.207, 0.324).



Q.
Entry from the Alexandria database: an optimized crystal structure of Er3HPb (GGA-PBE).

The value obtained for the volume is 23.79 A^3/atom.

It has space group P2_1/m (No. 11), with a = 6.560 Å, b = 3.552 Å, c = 10.344 Å, α = 90.00°, β = 99.18° and γ = 90.00°. The asymmetric unit holds Er at (0.083, 0.250, 0.368), Er at (0.226, 0.250, 0.896), Er at (0.400, 0.750, 0.634), H at (0.173, 0.250, 0.673) and Pb at (0.289, 0.750, 0.157).



Most stable structure - P; separation to the second - 75 meV/atom.



P.
Entry from the Alexandria database: an optimized crystal structure of Er3H2Pb2 (GGA-PBE).

The value obtained for the volume is 21.56 A^3/atom.

It has space group C2/m (No. 12), with a = 12.070 Å, b = 4.429 Å, c = 5.853 Å, α = 90.00°, β = 105.30° and γ = 90.00°. The asymmetric unit holds Er at (0.000, 0.000, 0.000), Er at (0.216, 0.500, 0.281), H at (0.162, 0.000, 0.327) and Pb at (0.096, 0.500, 0.731).



Q.
Entry from the Alexandria database: an optimized crystal structure of Er3H2Pb2 (GGA-PBE).

The value obtained for the volume is 22.03 A^3/atom.

It has space group P2_1/c (No. 14), with a = 6.073 Å, b = 9.164 Å, c = 6.547 Å, α = 90.00°, β = 122.14° and γ = 90.00°. The asymmetric unit holds Er at (0.000, 0.000, 0.000), Er at (0.328, 0.079, 0.628), H at (0.362, 0.063, 0.317) and Pb at (0.212, 0.728, 0.326).



Most stable structure - Q; separation to the second - 85 meV/atom.



P.
Entry from the Alexandria database: an optimized crystal structure of Er4HPb2 (GGA-PBE).

The value obtained for the volume is 24.98 A^3/atom.

It has space group P2_1/m (No. 11), with a = 6.304 Å, b = 6.474 Å, c = 9.073 Å, α = 90.00°, β = 109.19° and γ = 90.00°. The asymmetric unit holds Er at (0.038, 0.001, 0.301), Er at (0.361, 0.750, 0.052), Er at (0.432, 0.750, 0.654), H at (0.206, 0.750, 0.794), Pb at (0.187, 0.250, 0.027) and Pb at (0.354, 0.250, 0.605).



Q.
Entry from the Alexandria database: an optimized crystal structure of Er4HPb2 (GGA-PBE).

The value obtained for the volume is 24.78 A^3/atom.

It has space group I4/mmm (No. 139), with a = 4.561 Å, b = 4.561 Å, c = 16.679 Å, α = 90.00°, β = 90.00° and γ = 90.00°. The asymmetric unit holds Er at (0.000, 0.000, 0.174), Er at (0.000, 0.500, 0.000), H at (0.000, 0.000, 0.000) and Pb at (0.000, 0.000, 0.361).



Most stable structure - P; separation to the second - 23 meV/atom.



P.
Entry from the Alexandria database: an optimized crystal structure of Er2HPd (GGA-PBE).

The value obtained for the volume is 18.81 A^3/atom.

It has space group P4/mmm (No. 123), with a = 3.284 Å, b = 3.284 Å, c = 6.977 Å, α = 90.00°, β = 90.00° and γ = 90.00°. The asymmetric unit holds Er at (0.000, 0.000, 0.240), H at (0.500, 0.500, 0.000) and Pd at (0.500, 0.500, 0.500).



Q.
Entry from the Alexandria database: an optimized crystal structure of Er2HPd (GGA-PBE).

The value obtained for the volume is 19.40 A^3/atom.

It has space group R-3m (No. 166, hexagonal axes), with a = 3.3397 Å, b = 3.3397 Å, c = 24.1039 Å, α = 90.00°, β = 90.00° and γ = 120.00°. The asymmetric unit holds Er at (0.0000, 0.0000, 0.1088), H at (0.0000, 0.0000, 0.5000) and Pd at (0.0000, 0.0000, 0.0000).



Most stable structure - P; separation to the second - 182 meV/atom.



P.
Entry from the Alexandria database: an optimized crystal structure of PmErH2 (GGA-PBE).

The value obtained for the volume is 15.94 A^3/atom.

It has space group R3m (No. 160, hexagonal axes), with a = 3.5179 Å, b = 3.5179 Å, c = 17.8487 Å, α = 90.00°, β = 90.00° and γ = 120.00°. The asymmetric unit holds Pm at (0.0000, 0.0000, 0.0000), Er at (0.0000, 0.0000, 0.8207), H at (0.0000, 0.0000, 0.2221) and H at (0.0000, 0.0000, 0.4188).



Q.
Entry from the Alexandria database: an optimized crystal structure of PmErH2 (GGA-PBE).

The value obtained for the volume is 15.35 A^3/atom.

It has space group R-3m (No. 166, hexagonal axes), with a = 3.5202 Å, b = 3.5202 Å, c = 17.1612 Å, α = 90.00°, β = 90.00° and γ = 120.00°. The asymmetric unit holds Pm at (0.0000, 0.0000, 0.0000), Er at (0.0000, 0.0000, 0.5000) and H at (0.0000, 0.0000, 0.2442).



Most stable structure - Q; separation to the second - 86 meV/atom.